The following is a DFT calculation (GGA-PBE) of a geometry-optimized Sm4Te2AsPt structure.

Unit cell a=4.2498 b=7.5235 c=7.6426 alpha=108.91 beta=90.00 gamma=90.00
Last column: nearest neighbours and their distance in Å.
Fractional positions:
Te: 0.5000 0.0000 0.5000  6 Sm 3.19-3.24
Te: 0.0000 0.5000 0.5000  6 Sm 3.18-3.21
Sm: 0.5000 0.2399 0.2232  2 As 2.95, 1 Pt 2.98, 3 Te 3.18-3.19
Sm: 0.5000 0.7601 0.7768  2 As 2.95, 1 Pt 2.98, 3 Te 3.18-3.19
Sm: 0.0000 0.2684 0.7857  2 Pt 2.90, 1 As 2.98, 3 Te 3.21-3.24
Sm: 0.0000 0.7316 0.2143  2 Pt 2.90, 1 As 2.98, 3 Te 3.21-3.24
As: 0.0000 0.0000 0.0000  6 Sm 2.95-2.98
Pt: 0.5000 0.5000 0.0000  6 Sm 2.90-2.98

## Properties
* E_form (uncorrected): -1.37 eV per atom


The following is a DFT calculation (GGA-PBE) of a geometry-optimized K2HfF6 structure.

Unit cell a=6.1676 b=6.1676 c=6.1676 alpha=60.00 beta=60.00 gamma=60.00
Last column: nearest neighbours and their distance in Å.
Fractional positions:
F: 0.7704 0.2296 0.7704  1 Hf 2.00
F: 0.2296 0.7704 0.7704  1 Hf 2.00
F: 0.7704 0.2296 0.2296  1 Hf 2.00
F: 0.2296 0.2296 0.7704  1 Hf 2.00
F: 0.2296 0.7704 0.2296  1 Hf 2.00
F: 0.7704 0.7704 0.2296  1 Hf 2.00
K: 0.2500 0.2500 0.2500  12 F 3.09
K: 0.7500 0.7500 0.7500  12 F 3.09
Hf: 0.0000 0.0000 0.0000  6 F 2.00

## Properties
* E_form (uncorrected): -3.42 eV per atom


The following is a DFT calculation (GGA-PBE) of a geometry-optimized YMoP2 structure.

Unit cell a=4.5575 b=4.5575 c=4.5575 alpha=60.00 beta=60.00 gamma=60.00
Last column: nearest neighbours and their distance in Å.
Fractional positions:
Mo: 0.5000 0.5000 0.5000  8 P 2.79
Y: 0.0000 0.0000 0.0000  8 P 2.79
P: 0.2500 0.2500 0.2500  4 Mo 2.79, 4 Y 2.79
P: 0.7500 0.7500 0.7500  4 Mo 2.79, 4 Y 2.79

## Properties
* E_form: -0.54 eV/atom
* excess energy over the best structure of this formula in the dataset: 264 meV/atom


The following is a DFT calculation (GGA-PBE) of a geometry-optimized LaCr2Hg structure.

Unit cell a=2.8597 b=2.8597 c=9.1647 alpha=90.00 beta=90.00 gamma=90.00
Last column: nearest neighbours and their distance in Å.
Fractional positions:
La: 0.5000 0.5000 0.7500  4 La 2.86
Cr: 0.0000 0.0000 0.0268  4 Cr 2.86, 4 Hg 2.88
Cr: 0.0000 0.0000 0.4732  4 Cr 2.86, 4 Hg 2.88
Hg: 0.5000 0.5000 0.2500  4 Hg 2.86, 8 Cr 2.88

## Properties
* E_form: 1.02 eV/atom


The following is a DFT calculation (GGA-PBE) of a geometry-optimized Re5Te3 structure.

Unit cell a=7.6209 b=7.6209 c=5.9632 alpha=90.00 beta=90.00 gamma=120.00
Last column: nearest neighbours and their distance in Å.
Fractional positions:
Re: 0.0000 0.8123 0.7500  2 Re 2.48, 2 Te 2.76
Re: 0.3333 0.6667 0.0000  6 Te 2.73, 2 Re 2.98
Re: 0.8123 0.8123 0.2500  2 Re 2.48, 2 Te 2.76
Re: 0.6667 0.3333 0.0000  6 Te 2.73, 2 Re 2.98
Re: 0.0000 0.1877 0.2500  2 Re 2.48, 2 Te 2.76
Re: 0.3333 0.6667 0.5000  6 Te 2.73, 2 Re 2.98
Re: 0.8123 0.0000 0.7500  2 Re 2.48, 2 Te 2.76
Re: 0.6667 0.3333 0.5000  6 Te 2.73, 2 Re 2.98
Re: 0.1877 0.1877 0.7500  2 Re 2.48, 2 Te 2.76
Re: 0.1877 0.0000 0.2500  2 Re 2.48, 2 Te 2.76
Te: 0.4168 0.0000 0.7500  7 Re 2.73-3.01
Te: 0.4168 0.4168 0.2500  7 Re 2.73-3.01
Te: 0.5832 0.5832 0.7500  7 Re 2.73-3.01
Te: 0.0000 0.4168 0.7500  7 Re 2.73-3.01
Te: 0.0000 0.5832 0.2500  7 Re 2.73-3.01
Te: 0.5832 0.0000 0.2500  7 Re 2.73-3.01

## Properties
* E_form (uncorrected): 1.27 eV per atom
* excess energy over the best structure of this formula in the dataset: 607 meV/atom


The following is a DFT calculation (GGA-PBE) of a geometry-optimized CaNiRu structure.

Unit cell a=4.3684 b=4.3684 c=19.6144 alpha=90.00 beta=90.00 gamma=120.00
Last column: nearest neighbours and their distance in Å.
Fractional positions:
Ru: 0.6667 0.3333 0.8777  3 Ru 2.59, 3 Ni 2.65
Ru: 0.6667 0.3333 0.2405  1 Ni 2.53, 3 Ru 2.59, 1 Ca 2.78
Ru: 0.0000 0.0000 0.5444  3 Ru 2.59, 3 Ni 2.65
Ru: 0.0000 0.0000 0.9072  1 Ni 2.53, 3 Ru 2.59, 1 Ca 2.78
Ru: 0.3333 0.6667 0.5738  1 Ni 2.53, 3 Ru 2.59, 1 Ca 2.78
Ru: 0.3333 0.6667 0.2111  3 Ru 2.59, 3 Ni 2.65
Ca: 0.6667 0.3333 0.0990  1 Ru 2.78, 6 Ni 2.81-2.87
Ca: 0.3333 0.6667 0.9816  4 Ni 2.74-2.86, 3 Ru 2.91
Ca: 0.0000 0.0000 0.7657  1 Ru 2.78, 6 Ni 2.81-2.87
Ca: 0.6667 0.3333 0.6482  4 Ni 2.74-2.86, 3 Ru 2.91
Ca: 0.0000 0.0000 0.3149  4 Ni 2.74-2.86, 3 Ru 2.91
Ca: 0.3333 0.6667 0.4323  1 Ru 2.78, 6 Ni 2.81-2.87
Ni: 0.6667 0.3333 0.3695  1 Ru 2.53, 1 Ni 2.60, 6 Ca 2.74-2.81
Ni: 0.0000 0.0000 0.1688  1 Ni 2.60, 6 Ru 2.65-2.89, 4 Ca 2.86-2.87
Ni: 0.6667 0.3333 0.5022  1 Ni 2.60, 6 Ru 2.65-2.89, 4 Ca 2.86-2.87
Ni: 0.3333 0.6667 0.8355  1 Ni 2.60, 6 Ru 2.65-2.89, 4 Ca 2.86-2.87
Ni: 0.3333 0.6667 0.7028  1 Ru 2.53, 1 Ni 2.60, 6 Ca 2.74-2.81
Ni: 0.0000 0.0000 0.0361  1 Ru 2.53, 1 Ni 2.60, 6 Ca 2.74-2.81

## Properties
* E_form: 0.18 eV/atom
* excess energy over the best structure of this formula in the dataset: 242 meV/atom


The following is a DFT calculation (GGA-PBE) of a geometry-optimized AcEr2In structure.

Unit cell a=5.2309 b=5.2309 c=6.6031 alpha=66.67 beta=66.67 gamma=60.00
Last column: nearest neighbours and their distance in Å.
Fractional positions:
In: 0.6933 0.6933 0.9200  6 Er 3.03-3.36
Er: 0.0397 0.0397 0.8809  3 In 3.03
Er: 0.2770 0.2770 0.1689  3 In 3.36, 3 Er 3.46, 4 Ac 3.69-3.75
Ac: 0.4899 0.4899 0.5303  4 In 3.58-3.79, 7 Er 3.66-3.75

## Properties
* E_form: -0.02 eV/atom
* excess energy over the best structure of this formula in the dataset: 176 meV/atom


The following is a DFT calculation (GGA-PBE) of a geometry-optimized Tm4TeAsS2 structure.

Unit cell a=3.9836 b=6.9582 c=7.0053 alpha=71.03 beta=90.00 gamma=90.00
Last column: nearest neighbours and their distance in Å.
Fractional positions:
S: 0.0000 0.0000 0.0000  6 Tm 2.84-2.85
S: 0.5000 0.0000 0.5000  6 Tm 2.67
Tm: 0.0000 0.7820 0.7190  3 S 2.67-2.85, 1 As 2.86
Tm: 0.0000 0.2180 0.2810  3 S 2.67-2.85, 1 As 2.86
Tm: 0.5000 0.2346 0.7359  3 S 2.67-2.84, 2 As 2.85
Tm: 0.5000 0.7654 0.2641  3 S 2.67-2.84, 2 As 2.85
Te: 0.5000 0.5000 0.0000  6 Tm 3.01-3.03
As: 0.0000 0.5000 0.5000  6 Tm 2.85-2.86

## Properties
* E_form (uncorrected): -1.64 eV per atom


The following is a DFT calculation (GGA-PBE) of a geometry-optimized Li4NiOs structure.

Unit cell a=4.6580 b=4.6580 c=4.6580 alpha=60.00 beta=60.00 gamma=60.00
Last column: nearest neighbours and their distance in Å.
Fractional positions:
Li: 0.6256 0.6256 0.6256  6 Li 2.32-2.34
Li: 0.6256 0.1232 0.6256  6 Li 2.32-2.34
Li: 0.1232 0.6256 0.6256  6 Li 2.32-2.34
Li: 0.6256 0.6256 0.1232  6 Li 2.32-2.34
Ni: 0.2500 0.2500 0.2500  12 Li 2.73, 4 Os 2.85
Os: 0.0000 0.0000 0.0000  12 Li 2.73, 4 Ni 2.85

## Properties
* E_form: 0.43 eV/atom


The following is a DFT calculation (GGA-PBE) of a geometry-optimized Be2FeCuW structure.

Unit cell a=3.8745 b=4.2752 c=3.8745 alpha=90.00 beta=90.00 gamma=90.00
Last column: nearest neighbours and their distance in Å.
Fractional positions:
Be: 0.5000 0.0000 0.0000  2 Cu 1.94
Be: 0.0000 0.0000 0.5000  2 Cu 1.94
Cu: 0.0000 0.0000 0.0000  4 Be 1.94, 2 Fe 2.14
Fe: 0.0000 0.5000 0.0000  2 Cu 2.14
W: 0.5000 0.5000 0.5000  4 Fe 2.74, 8 Be 2.88

## Properties
* E_form: 0.98 eV/atom


The following is a DFT calculation (GGA-PBE) of a geometry-optimized Zr2CuCl structure.

Unit cell a=6.7790 b=6.7790 c=6.7790 alpha=152.41 beta=146.21 gamma=44.16
Last column: nearest neighbours and their distance in Å.
Fractional positions:
Zr: 0.9417 0.9417 0.0000  2 Cu 2.72, 4 Cl 2.84
Zr: 0.7238 0.2238 0.5000  4 Cu 2.69, 2 Cl 2.80
Cl: 0.5417 0.5417 0.0000  6 Zr 2.80-2.84
Cu: 0.2928 0.7928 0.5000  6 Zr 2.69-2.72

## Properties
* E_form (uncorrected): -0.24 eV per atom
* excess energy over the best structure of this formula in the dataset: 154 meV/atom


The following is a DFT calculation (GGA-PBE) of a geometry-optimized Fe2AsW structure.

Unit cell a=4.4505 b=4.4505 c=4.4505 alpha=129.72 beta=129.72 gamma=73.86
Last column: nearest neighbours and their distance in Å.
Fractional positions:
Fe: 0.5000 0.5000 0.0000  4 As 2.60, 4 W 2.60, 4 Fe 2.67
Fe: 0.0000 0.0000 0.0000  4 W 2.60, 4 As 2.60, 4 Fe 2.67
As: 0.7500 0.2500 0.5000  8 Fe 2.60, 4 W 2.67
W: 0.2500 0.7500 0.5000  8 Fe 2.60, 4 As 2.67

## Properties
* E_form: 0.24 eV/atom


The following is a DFT calculation (GGA-PBE) of a geometry-optimized Y2InP2 structure.

Unit cell a=7.6800 b=7.6800 c=3.7338 alpha=90.00 beta=90.00 gamma=90.00
Last column: nearest neighbours and their distance in Å.
Fractional positions:
P: 0.8527 0.6473 0.0000  6 Y 2.83-2.99, 2 In 2.94
P: 0.6473 0.1473 0.0000  6 Y 2.83-2.99, 2 In 2.94
P: 0.1473 0.3527 0.0000  6 Y 2.83-2.99, 2 In 2.94
P: 0.3527 0.8527 0.0000  6 Y 2.83-2.99, 2 In 2.94
Y: 0.3435 0.1565 0.5000  6 P 2.83-2.99
Y: 0.6565 0.8435 0.5000  6 P 2.83-2.99
Y: 0.1565 0.6565 0.5000  6 P 2.83-2.99
Y: 0.8435 0.3435 0.5000  6 P 2.83-2.99
In: 0.0000 0.0000 0.0000  4 P 2.94
In: 0.5000 0.5000 0.0000  4 P 2.94

## Properties
* E_form: -1.02 eV/atom


The following is a DFT calculation (GGA-PBE) of a geometry-optimized Sc6Te3PSe2 structure.

Unit cell a=6.8838 b=6.8838 c=7.0179 alpha=99.37 beta=99.37 gamma=120.03
Last column: nearest neighbours and their distance in Å.
Fractional positions:
Sc: 0.2383 0.2383 0.7869  1 P 2.55, 2 Se 2.76
Sc: 0.6204 0.9309 0.7913  1 P 2.55, 2 Se 2.75-2.76
Sc: 0.0691 0.3796 0.2087  1 P 2.55, 2 Se 2.75-2.76
Sc: 0.7617 0.7617 0.2131  1 P 2.55, 2 Se 2.76
Sc: 0.3796 0.0691 0.2087  1 P 2.55, 2 Se 2.75-2.76
Sc: 0.9309 0.6204 0.7913  1 P 2.55, 2 Se 2.75-2.76
Se: 0.3344 0.6656 0.0000  6 Sc 2.75-2.76
Se: 0.6656 0.3344 0.0000  6 Sc 2.75-2.76
Te: 0.1723 0.8277 0.5000  6 Sc 2.94-3.08
Te: 0.8277 0.1723 0.5000  6 Sc 2.94-3.08
Te: 0.5000 0.5000 0.5000  6 Sc 2.95-3.11
P: 0.0000 0.0000 0.0000  6 Sc 2.55

## Properties
* E_form (uncorrected): -1.40 eV per atom


The following is a DFT calculation (GGA-PBE) of a geometry-optimized NiHPd structure.

Unit cell a=3.4462 b=3.4462 c=3.7858 alpha=117.07 beta=117.07 gamma=90.00
Last column: nearest neighbours and their distance in Å.
Fractional positions:
Ni: 0.2334 0.2334 0.4668  1 H 1.58
Pd: 0.6561 0.6561 0.3122  1 H 1.76
H: 0.9605 0.9605 0.9210  1 Ni 1.58, 1 Pd 1.76

## Properties
* E: -4.35 eV/atom


The following is a DFT calculation (GGA-PBE) of a geometry-optimized BeReHg4 structure.

Unit cell a=5.6502 b=5.6502 c=5.6502 alpha=60.00 beta=60.00 gamma=60.00
Last column: nearest neighbours and their distance in Å.
Fractional positions:
Hg: 0.3751 0.3751 0.3751  6 Hg 2.82-2.83
Hg: 0.8747 0.3751 0.3751  6 Hg 2.82-2.83
Hg: 0.3751 0.3751 0.8747  6 Hg 2.82-2.83
Hg: 0.3751 0.8747 0.3751  6 Hg 2.82-2.83
Be: 0.0000 0.0000 0.0000  12 Hg 3.31, 4 Re 3.46
Re: 0.7500 0.7500 0.7500  12 Hg 3.31, 4 Be 3.46

## Properties
* E_form: 1.35 eV/atom


The following is a DFT calculation (GGA-PBE) of a geometry-optimized BaAcPdPb structure.

Unit cell a=5.7384 b=5.7384 c=5.7384 alpha=60.00 beta=60.00 gamma=60.00
Last column: nearest neighbours and their distance in Å.
Fractional positions:
Pb: 0.5000 0.5000 0.5000  4 Ac 3.51, 4 Ba 3.51
Ba: 0.7500 0.7500 0.7500  4 Pb 3.51, 4 Pd 3.51
Pd: 0.0000 0.0000 0.0000  4 Ba 3.51, 4 Ac 3.51
Ac: 0.2500 0.2500 0.2500  4 Pb 3.51, 4 Pd 3.51

## Properties
* E_form: -0.45 eV/atom


The following is a DFT calculation (GGA-PBE) of a geometry-optimized CrP2Rh structure.

Unit cell a=3.4916 b=2.8860 c=5.3294 alpha=90.04 beta=90.00 gamma=90.00
Last column: nearest neighbours and their distance in Å.
Fractional positions:
Rh: 0.5000 0.2500 0.2500  4 P 2.33
Cr: 0.5000 0.7500 0.7500  8 P 2.53
P: 0.0000 0.2499 0.9601  1 P 2.24, 2 Rh 2.33
P: 0.0000 0.2501 0.5399  1 P 2.24, 2 Rh 2.33

## Properties
* E_form: -0.19 eV/atom
* excess energy over the best structure of this formula in the dataset: 204 meV/atom


The following is a DFT calculation (GGA-PBE) of a geometry-optimized YTaRe2 structure.

Unit cell a=4.6944 b=4.6944 c=3.2696 alpha=90.00 beta=90.00 gamma=90.00
Last column: nearest neighbours and their distance in Å.
Fractional positions:
Re: 0.5000 0.5000 0.0000  4 Ta 2.86, 4 Y 2.86
Re: 0.0000 0.0000 0.0000  4 Ta 2.86, 4 Y 2.86
Y: 0.0000 0.5000 0.5000  8 Re 2.86
Ta: 0.5000 0.0000 0.5000  8 Re 2.86

## Properties
* E_form: 0.16 eV/atom


The following is a DFT calculation (GGA-PBE) of a geometry-optimized HfBe4Nb structure.

Unit cell a=3.4517 b=3.4517 c=6.6900 alpha=104.95 beta=104.95 gamma=90.00
Last column: nearest neighbours and their distance in Å.
Fractional positions:
Hf: 0.0000 0.0000 0.0000  12 Be 2.67-2.73
Nb: 0.2500 0.7500 0.5000  12 Be 2.64-2.67
Be: 0.8301 0.3301 0.6602  3 Be 2.00-2.02
Be: 0.6699 0.1699 0.3398  3 Be 2.00-2.02
Be: 0.5863 0.5863 0.1725  3 Be 2.02-2.15
Be: 0.4137 0.4137 0.8275  3 Be 2.02-2.15

## Properties
* E_form: -0.14 eV/atom
* excess energy over the best structure of this formula in the dataset: 0 meV/atom